(1)
# AcTmAg GGA-PBE relaxed
# mass density = 8274 kg/m3
# calculated volume = 101 Å³/f.u.
data_AcTmAg
_symmetry_space_group_name_H-M 'F -4 3 m'
_symmetry_Int_Tables_number 216
_symmetry_space_group_name_Hall 'F -4 2 3'
_cell_length_a 7.3952
_cell_length_b 7.3952
_cell_length_c 7.3952
_cell_angle_alpha 90.00
_cell_angle_beta 90.00
_cell_angle_gamma 90.00
loop_
_atom_site_label
_atom_site_type_symbol
_atom_site_fract_x
_atom_site_fract_y
_atom_site_fract_z
Ac1 Ac 0.0000 0.0000 0.0000
Tm1 Tm 0.0000 0.0000 0.5000
Ag1 Ag 0.2500 0.2500 0.2500

***

(2)
# AcTmAg GGA-PBE relaxed
# mass density = 8299 kg/m3
# calculated volume = 101 Å³/f.u.
data_AcTmAg
_symmetry_space_group_name_H-M 'F -4 3 m'
_symmetry_Int_Tables_number 216
_symmetry_space_group_name_Hall 'F -4 2 3'
_cell_length_a 7.3879
_cell_length_b 7.3879
_cell_length_c 7.3879
_cell_angle_alpha 90.00
_cell_angle_beta 90.00
_cell_angle_gamma 90.00
loop_
_atom_site_label
_atom_site_type_symbol
_atom_site_fract_x
_atom_site_fract_y
_atom_site_fract_z
Ac1 Ac 0.0000 0.0000 0.0000
Tm1 Tm 0.2500 0.2500 0.2500
Ag1 Ag 0.2500 0.2500 0.7500

***

Which is the most stable structure? (1) is the most stable.

***

(1)
# AcAlCo GGA-PBE relaxed
# mass density = 6029 kg/m3
# calculated volume = 86 Å³/f.u.
data_AcAlCo
_symmetry_space_group_name_H-M 'F -4 3 m'
_symmetry_Int_Tables_number 216
_symmetry_space_group_name_Hall 'F -4 2 3'
_cell_length_a 7.0119
_cell_length_b 7.0119
_cell_length_c 7.0119
_cell_angle_alpha 90.00
_cell_angle_beta 90.00
_cell_angle_gamma 90.00
loop_
_atom_site_label
_atom_site_type_symbol
_atom_site_fract_x
_atom_site_fract_y
_atom_site_fract_z
Ac1 Ac 0.0000 0.0000 0.0000
Al1 Al 0.2500 0.2500 0.7500
Co1 Co 0.2500 0.2500 0.2500

***

(2)
# AcAlCo GGA-PBE relaxed
# mass density = 6767 kg/m3
# calculated volume = 77 Å³/f.u.
data_AcAlCo
_symmetry_space_group_name_H-M 'F -4 3 m'
_symmetry_Int_Tables_number 216
_symmetry_space_group_name_Hall 'F -4 2 3'
_cell_length_a 6.7471
_cell_length_b 6.7471
_cell_length_c 6.7471
_cell_angle_alpha 90.00
_cell_angle_beta 90.00
_cell_angle_gamma 90.00
loop_
_atom_site_label
_atom_site_type_symbol
_atom_site_fract_x
_atom_site_fract_y
_atom_site_fract_z
Ac1 Ac 0.0000 0.0000 0.0000
Al1 Al 0.2500 0.2500 0.7500
Co1 Co 0.0000 0.0000 0.5000

***

Which is the most stable structure? (2) is the most stable.

***

(1)
# AcDyAl GGA-PBE relaxed
# mass density = 6626 kg/m3
# calculated volume = 104 Å³/f.u.
data_AcDyAl
_symmetry_space_group_name_H-M 'F -4 3 m'
_symmetry_Int_Tables_number 216
_symmetry_space_group_name_Hall 'F -4 2 3'
_cell_length_a 7.4738
_cell_length_b 7.4738
_cell_length_c 7.4738
_cell_angle_alpha 90.00
_cell_angle_beta 90.00
_cell_angle_gamma 90.00
loop_
_atom_site_label
_atom_site_type_symbol
_atom_site_fract_x
_atom_site_fract_y
_atom_site_fract_z
Ac1 Ac 0.0000 0.0000 0.0000
Dy1 Dy 0.0000 0.0000 0.5000
Al1 Al 0.2500 0.2500 0.2500

***

(2)
# AcDyAl GGA-PBE relaxed
# mass density = 6335 kg/m3
# calculated volume = 109 Å³/f.u.
data_AcDyAl
_symmetry_space_group_name_H-M 'F -4 3 m'
_symmetry_Int_Tables_number 216
_symmetry_space_group_name_Hall 'F -4 2 3'
_cell_length_a 7.5866
_cell_length_b 7.5866
_cell_length_c 7.5866
_cell_angle_alpha 90.00
_cell_angle_beta 90.00
_cell_angle_gamma 90.00
loop_
_atom_site_label
_atom_site_type_symbol
_atom_site_fract_x
_atom_site_fract_y
_atom_site_fract_z
Ac1 Ac 0.0000 0.0000 0.0000
Dy1 Dy 0.2500 0.2500 0.2500
Al1 Al 0.2500 0.2500 0.7500

***

Which is the most stable structure? (1) is the most stable.

***

(1)
# AcAlHg GGA-PBE relaxed
# mass density = 8039 kg/m3
# calculated volume = 94 Å³/f.u.
data_AcAlHg
_symmetry_space_group_name_H-M 'F -4 3 m'
_symmetry_Int_Tables_number 216
_symmetry_space_group_name_Hall 'F -4 2 3'
_cell_length_a 7.2151
_cell_length_b 7.2151
_cell_length_c 7.2151
_cell_angle_alpha 90.00
_cell_angle_beta 90.00
_cell_angle_gamma 90.00
loop_
_atom_site_label
_atom_site_type_symbol
_atom_site_fract_x
_atom_site_fract_y
_atom_site_fract_z
Ac1 Ac 0.0000 0.0000 0.0000
Al1 Al 0.0000 0.0000 0.5000
Hg1 Hg 0.2500 0.2500 0.2500

***

(2)
# AcAlHg GGA-PBE relaxed
# mass density = 8189 kg/m3
# calculated volume = 92 Å³/f.u.
data_AcAlHg
_symmetry_space_group_name_H-M 'F -4 3 m'
_symmetry_Int_Tables_number 216
_symmetry_space_group_name_Hall 'F -4 2 3'
_cell_length_a 7.1708
_cell_length_b 7.1708
_cell_length_c 7.1708
_cell_angle_alpha 90.00
_cell_angle_beta 90.00
_cell_angle_gamma 90.00
loop_
_atom_site_label
_atom_site_type_symbol
_atom_site_fract_x
_atom_site_fract_y
_atom_site_fract_z
Ac1 Ac 0.0000 0.0000 0.0000
Al1 Al 0.2500 0.2500 0.2500
Hg1 Hg 0.0000 0.0000 0.5000

***

Which is the most stable structure? (1) is the most stable.

***

(1)
# AcHoAl GGA-PBE relaxed
# mass density = 6705 kg/m3
# calculated volume = 104 Å³/f.u.
data_AcHoAl
_symmetry_space_group_name_H-M 'F -4 3 m'
_symmetry_Int_Tables_number 216
_symmetry_space_group_name_Hall 'F -4 2 3'
_cell_length_a 7.4591
_cell_length_b 7.4591
_cell_length_c 7.4591
_cell_angle_alpha 90.00
_cell_angle_beta 90.00
_cell_angle_gamma 90.00
loop_
_atom_site_label
_atom_site_type_symbol
_atom_site_fract_x
_atom_site_fract_y
_atom_site_fract_z
Ac1 Ac 0.0000 0.0000 0.0000
Ho1 Ho 0.0000 0.0000 0.5000
Al1 Al 0.2500 0.2500 0.2500

***

(2)
# AcHoAl GGA-PBE relaxed
# mass density = 6379 kg/m3
# calculated volume = 109 Å³/f.u.
data_AcHoAl
_symmetry_space_group_name_H-M 'F -4 3 m'
_symmetry_Int_Tables_number 216
_symmetry_space_group_name_Hall 'F -4 2 3'
_cell_length_a 7.5839
_cell_length_b 7.5839
_cell_length_c 7.5839
_cell_angle_alpha 90.00
_cell_angle_beta 90.00
_cell_angle_gamma 90.00
loop_
_atom_site_label
_atom_site_type_symbol
_atom_site_fract_x
_atom_site_fract_y
_atom_site_fract_z
Ac1 Ac 0.0000 0.0000 0.0000
Ho1 Ho 0.2500 0.2500 0.2500
Al1 Al 0.2500 0.2500 0.7500

***

Which is the most stable structure? (1) is the most stable.

***

(1)
# AcNpAl GGA-PBE relaxed
# mass density = 7994 kg/m3
# calculated volume = 102 Å³/f.u.
data_AcNpAl
_symmetry_space_group_name_H-M 'F -4 3 m'
_symmetry_Int_Tables_number 216
_symmetry_space_group_name_Hall 'F -4 2 3'
_cell_length_a 7.4164
_cell_length_b 7.4164
_cell_length_c 7.4164
_cell_angle_alpha 90.00
_cell_angle_beta 90.00
_cell_angle_gamma 90.00
loop_
_atom_site_label
_atom_site_type_symbol
_atom_site_fract_x
_atom_site_fract_y
_atom_site_fract_z
Ac1 Ac 0.0000 0.0000 0.0000
Np1 Np 0.0000 0.0000 0.5000
Al1 Al 0.2500 0.2500 0.2500

***

(2)
# AcNpAl GGA-PBE relaxed
# mass density = 9023 kg/m3
# calculated volume = 90 Å³/f.u.
data_AcNpAl
_symmetry_space_group_name_H-M 'F -4 3 m'
_symmetry_Int_Tables_number 216
_symmetry_space_group_name_Hall 'F -4 2 3'
_cell_length_a 7.1232
_cell_length_b 7.1232
_cell_length_c 7.1232
_cell_angle_alpha 90.00
_cell_angle_beta 90.00
_cell_angle_gamma 90.00
loop_
_atom_site_label
_atom_site_type_symbol
_atom_site_fract_x
_atom_site_fract_y
_atom_site_fract_z
Ac1 Ac 0.0000 0.0000 0.0000
Np1 Np 0.2500 0.2500 0.2500
Al1 Al 0.2500 0.2500 0.7500

***

Which is the most stable structure? (1) is the most stable.

***

(1)
# AcAlTc GGA-PBE relaxed
# mass density = 7007 kg/m3
# calculated volume = 83 Å³/f.u.
data_AcAlTc
_symmetry_space_group_name_H-M 'F -4 3 m'
_symmetry_Int_Tables_number 216
_symmetry_space_group_name_Hall 'F -4 2 3'
_cell_length_a 6.9359
_cell_length_b 6.9359
_cell_length_c 6.9359
_cell_angle_alpha 90.00
_cell_angle_beta 90.00
_cell_angle_gamma 90.00
loop_
_atom_site_label
_atom_site_type_symbol
_atom_site_fract_x
_atom_site_fract_y
_atom_site_fract_z
Ac1 Ac 0.0000 0.0000 0.0000
Al1 Al 0.2500 0.2500 0.7500
Tc1 Tc 0.2500 0.2500 0.2500

***

(2)
# AcAlTc GGA-PBE relaxed
# mass density = 7603 kg/m3
# calculated volume = 77 Å³/f.u.
data_AcAlTc
_symmetry_space_group_name_H-M 'F -4 3 m'
_symmetry_Int_Tables_number 216
_symmetry_space_group_name_Hall 'F -4 2 3'
_cell_length_a 6.7496
_cell_length_b 6.7496
_cell_length_c 6.7496
_cell_angle_alpha 90.00
_cell_angle_beta 90.00
_cell_angle_gamma 90.00
loop_
_atom_site_label
_atom_site_type_symbol
_atom_site_fract_x
_atom_site_fract_y
_atom_site_fract_z
Ac1 Ac 0.0000 0.0000 0.0000
Al1 Al 0.2500 0.2500 0.2500
Tc1 Tc 0.0000 0.0000 0.5000

***

Which is the most stable structure? (2) is the most stable.